i:
## Na2Sr2Ag (PBE)

Data for Na2Sr2Ag after structural relaxation.

Symmetry: P4/mbm (127)
Calculated volume (Å³ per cell): 443

POSCAR file:
```
Na2Sr2Ag
1.0
8.515 0.000 0.000
0.000 8.515 0.000
0.000 0.000 6.116
Na Ag Sr
4 2 4
Direct
0.354 0.146 0.500
0.854 0.354 0.500
0.146 0.646 0.500
0.646 0.854 0.500
0.000 0.000 0.000
0.500 0.500 0.000
0.169 0.331 0.000
0.669 0.169 0.000
0.331 0.831 0.000
0.831 0.669 0.000
```

***

ii:
## Na2Sr2Ag (PBE)

Data for Na2Sr2Ag after structural relaxation.

Symmetry: Immm (71)
Calculated volume (Å³ per cell): 186

POSCAR file:
```
Na2Sr2Ag
1.0
5.503 0.000 2.093
-0.850 5.107 2.235
0.527 0.183 6.896
Sr Ag Na
2 1 2
Direct
0.314 0.814 0.371
0.686 0.186 0.629
0.000 0.000 0.000
0.755 0.500 0.000
0.245 0.500 0.000
```

***

Relative energies, meV per atom: i 73; ii 0.

***

i:
## Na2Sr2Ag (PBE)

Data for Na2Sr2Ag after structural relaxation.

Symmetry: I4/mmm (139)
Calculated volume (Å³ per cell): 188

POSCAR file:
```
Na2Sr2Ag
1.0
4.218 0.000 0.000
0.000 4.218 0.000
2.109 2.109 10.586
Na Ag Sr
2 1 2
Direct
0.750 0.250 0.500
0.250 0.750 0.500
0.000 0.000 0.000
0.413 0.413 0.175
0.587 0.587 0.825
```

***

ii:
## Na2Sr2Ag (PBE)

Data for Na2Sr2Ag after structural relaxation.

Symmetry: P4/mbm (127)
Calculated volume (Å³ per cell): 374

POSCAR file:
```
Na2Sr2Ag
1.0
-5.490 -5.735 1.384
1.783 0.190 7.857
-4.019 4.044 0.815
Sr Ag Na
4 2 4
Direct
0.683 0.817 0.500
0.183 0.683 0.500
0.317 0.183 0.500
0.817 0.317 0.500
0.500 0.500 0.000
0.000 0.000 0.000
0.361 0.861 0.000
0.639 0.139 0.000
0.139 0.361 0.000
0.861 0.639 0.000
```

***

Relative energies, meV per atom: i 0; ii 52.

***

i:
## Na2SrAg2 (PBE)

Data for Na2SrAg2 after structural relaxation.

Symmetry: P4/mbm (127)
Calculated volume (Å³ per cell): 297

POSCAR file:
```
Na2SrAg2
1.0
8.245 0.000 0.000
0.000 8.245 0.000
0.000 0.000 4.365
Sr Ag Na
2 4 4
Direct
0.000 0.000 0.000
0.500 0.500 0.000
0.123 0.377 0.000
0.877 0.623 0.000
0.623 0.123 0.000
0.377 0.877 0.000
0.343 0.157 0.500
0.157 0.657 0.500
0.657 0.843 0.500
0.843 0.343 0.500
```

***

ii:
## Na2SrAg2 (PBE)

Data for Na2SrAg2 after structural relaxation.

Symmetry: Imma (74)
Calculated volume (Å³ per cell): 297

POSCAR file:
```
Na2SrAg2
1.0
-1.711 -4.355 -0.992
2.689 -0.265 -3.478
9.464 -3.454 10.371
Sr Na Ag
2 4 4
Direct
0.181 0.431 0.361
0.819 0.569 0.639
0.057 0.807 0.113
0.552 0.302 0.104
0.943 0.193 0.887
0.448 0.698 0.896
0.628 0.878 0.255
0.275 0.025 0.550
0.725 0.975 0.450
0.372 0.122 0.745
```

***

Relative energies, meV per atom: i 101; ii 0.

***

i:
## Na2SrAg2 (PBE)

Data for Na2SrAg2 after structural relaxation.

Symmetry: P4/mbm (127)
Calculated volume (Å³ per cell): 272

POSCAR file:
```
Na2SrAg2
1.0
-7.526 -1.402 -4.221
0.797 -8.587 1.431
-1.781 0.345 3.062
Na Ag Sr
4 4 2
Direct
0.118 0.382 0.000
0.382 0.882 0.000
0.882 0.618 0.000
0.618 0.118 0.000
0.819 0.319 0.500
0.319 0.181 0.500
0.681 0.819 0.500
0.181 0.681 0.500
0.500 0.500 0.000
0.000 0.000 0.000
```

***

ii:
## Na2SrAg2 (PBE)

Data for Na2SrAg2 after structural relaxation.

Symmetry: I4/mmm (139)
Calculated volume (Å³ per cell): 145

POSCAR file:
```
Na2SrAg2
1.0
4.518 0.000 0.000
0.000 4.518 0.000
2.259 2.259 7.100
Ag Na Sr
2 2 1
Direct
0.403 0.403 0.194
0.597 0.597 0.806
0.750 0.250 0.500
0.250 0.750 0.500
0.000 0.000 0.000
```

***

Relative energies, meV per atom: i 105; ii 0.

***

i:
## Na3TaAg (PBE)

Data for Na3TaAg after structural relaxation.

Symmetry: Pm-3m (221)
Calculated volume (Å³ per cell): 160

POSCAR file:
```
Na3TaAg
1.0
5.427 0.000 0.000
0.000 5.427 0.000
0.000 0.000 5.427
Na Ta Ag
3 1 1
Direct
0.000 0.500 0.000
0.000 0.000 0.500
0.500 0.000 0.000
0.500 0.500 0.500
0.000 0.000 0.000
```

***

ii:
## Na3TaAg (PBE)

Data for Na3TaAg after structural relaxation.

Symmetry: Pm-3m (221)
Calculated volume (Å³ per cell): 211

POSCAR file:
```
Na3TaAg
1.0
5.949 0.000 0.000
0.000 5.949 0.000
0.000 0.000 5.949
Ta Na Ag
1 3 1
Direct
0.000 0.000 0.000
0.000 0.500 0.000
0.500 0.000 0.000
0.000 0.000 0.500
0.500 0.500 0.500
```

***

Relative energies, meV per atom: i 0; ii 267.

***

i:
## NaTaAg2 (PBE)

Data for NaTaAg2 after structural relaxation.

Symmetry: Fm-3m (225)
Calculated volume (Å³ per cell): 75

POSCAR file:
```
NaTaAg2
1.0
1.296 1.589 4.261
-3.171 0.237 3.500
0.283 -2.989 3.653
Ag Ta Na
2 1 1
Direct
0.250 0.250 0.250
0.750 0.750 0.750
0.500 0.500 0.500
0.000 0.000 0.000
```

***

ii:
## NaTaAg2 (PBE)

Data for NaTaAg2 after structural relaxation.

Symmetry: I-42d (122)
Calculated volume (Å³ per cell): 170

POSCAR file:
```
NaTaAg2
1.0
-2.195 -0.078 -7.181
1.314 -7.387 -0.321
-3.276 -4.275 -2.878
Ag Ta Na
4 2 2
Direct
0.116 0.625 0.250
0.634 0.125 0.250
0.875 0.884 0.750
0.375 0.366 0.750
0.000 0.000 0.000
0.750 0.250 0.500
0.250 0.750 0.500
0.500 0.500 0.000
```

***

Relative energies, meV per atom: i 0; ii 358.

***

i:
## Na2TaAg (PBE)

Data for Na2TaAg after structural relaxation.

Symmetry: Fm-3m (225)
Calculated volume (Å³ per cell): 86

POSCAR file:
```
Na2TaAg
1.0
-3.476 -3.236 1.387
-4.063 1.584 2.337
-4.373 -0.077 -2.313
Ag Ta Na
1 1 2
Direct
0.000 0.000 0.000
0.500 0.500 0.500
0.250 0.250 0.250
0.750 0.750 0.750
```

***

ii:
## Na2TaAg (PBE)

Data for Na2TaAg after structural relaxation.

Symmetry: I-42d (122)
Calculated volume (Å³ per cell): 190

POSCAR file:
```
Na2TaAg
1.0
-4.804 1.357 6.557
-1.118 -8.119 0.862
-0.725 -3.512 5.375
Ta Ag Na
2 2 4
Direct
0.750 0.250 0.500
0.000 0.000 0.000
0.500 0.500 0.000
0.250 0.750 0.500
0.157 0.625 0.250
0.593 0.125 0.250
0.875 0.843 0.750
0.375 0.407 0.750
```

***

Relative energies, meV per atom: i 91; ii 0.

***

i:
## NaTbAg2 (PBE)

Data for NaTbAg2 after structural relaxation.

Symmetry: R-3m (166)
Calculated volume (Å³ per cell): 105

POSCAR file:
```
NaTbAg2
1.0
3.700 0.000 0.000
1.850 3.205 0.000
1.850 1.068 8.879
Ag Tb Na
2 1 1
Direct
0.253 0.253 0.242
0.747 0.747 0.758
0.000 0.000 0.000
0.500 0.500 0.500
```

***

ii:
## NaTbAg2 (PBE)

Data for NaTbAg2 after structural relaxation.

Symmetry: P4/mmm (123)
Calculated volume (Å³ per cell): 98

POSCAR file:
```
NaTbAg2
1.0
3.633 0.000 0.000
0.000 3.633 0.000
0.000 0.000 7.453
Na Ag Tb
1 2 1
Direct
0.500 0.500 0.500
0.000 0.000 0.772
0.000 0.000 0.228
0.500 0.500 0.000
```

***

Relative energies, meV per atom: i 165; ii 0.

***

i:
## Na2TcAg (PBE)

Data for Na2TcAg after structural relaxation.

Symmetry: I-42d (122)
Calculated volume (Å³ per cell): 187

POSCAR file:
```
Na2TcAg
1.0
-4.348 -0.796 6.808
0.069 -8.067 -0.899
0.254 -4.579 4.466
Na Tc Ag
4 2 2
Direct
0.106 0.625 0.250
0.644 0.125 0.250
0.375 0.356 0.750
0.875 0.894 0.750
0.500 0.500 0.000
0.250 0.750 0.500
0.750 0.250 0.500
0.000 0.000 0.000
```

***

ii:
## Na2TcAg (PBE)

Data for Na2TcAg after structural relaxation.

Symmetry: Fm-3m (225)
Calculated volume (Å³ per cell): 84

POSCAR file:
```
Na2TcAg
1.0
-1.604 -2.551 3.896
-4.337 -2.326 -0.195
-0.150 -4.920 -0.170
Tc Na Ag
1 2 1
Direct
0.000 0.000 0.000
0.750 0.750 0.750
0.250 0.250 0.250
0.500 0.500 0.500
```

***

Relative energies, meV per atom: i 55; ii 0.

***

i:
## NaTc2Ag (PBE)

Data for NaTc2Ag after structural relaxation.

Symmetry: Fm-3m (225)
Calculated volume (Å³ per cell): 66

POSCAR file:
```
NaTc2Ag
1.0
0.635 1.405 4.275
-1.434 4.120 1.275
-3.549 0.402 2.811
Ag Tc Na
1 2 1
Direct
0.500 0.500 0.500
0.250 0.250 0.250
0.750 0.750 0.750
0.000 0.000 0.000
```

***

ii:
## NaTc2Ag (PBE)

Data for NaTc2Ag after structural relaxation.

Symmetry: I-42d (122)
Calculated volume (Å³ per cell): 140

POSCAR file:
```
NaTc2Ag
1.0
-0.319 -3.116 1.835
1.226 -1.827 -2.888
10.381 -1.405 3.013
Tc Na Ag
4 2 2
Direct
0.375 0.390 0.750
0.610 0.125 0.250
0.140 0.625 0.250
0.875 0.860 0.750
0.250 0.750 0.500
0.500 0.500 0.000
0.000 0.000 0.000
0.750 0.250 0.500
```

***

Relative energies, meV per atom: i 456; ii 0.

***

i:
## NaYTc2Ag (PBE)

Data for NaYTc2Ag after structural relaxation.

Symmetry: P4/mmm (123)
Calculated volume (Å³ per cell): 140

POSCAR file:
```
NaYTc2Ag
1.0
-0.699 3.338 -3.688
-4.567 1.874 2.562
2.780 3.350 2.506
Ag Y Tc Na
1 1 2 1
Direct
0.000 0.500 0.000
0.000 0.000 0.000
0.000 0.000 0.500
0.500 0.000 0.000
0.500 0.500 0.500
```

***

ii:
## NaYTc2Ag (PBE)

Data for NaYTc2Ag after structural relaxation.

Symmetry: P4/mmm (123)
Calculated volume (Å³ per cell): 130

POSCAR file:
```
NaYTc2Ag
1.0
4.904 0.000 0.000
0.000 5.398 0.000
0.000 0.000 4.904
Ag Na Y Tc
1 1 1 2
Direct
0.500 0.500 0.500
0.000 0.500 0.000
0.000 0.000 0.000
0.500 0.000 0.000
0.000 0.000 0.500
```

***

Relative energies, meV per atom: i 0; ii 183.

***

i:
## NaAg3Te (PBE)

Data for NaAg3Te after structural relaxation.

Symmetry: Pm-3m (221)
Calculated volume (Å³ per cell): 162

POSCAR file:
```
NaAg3Te
1.0
5.452 0.000 0.000
0.000 5.452 0.000
0.000 0.000 5.452
Ag Na Te
3 1 1
Direct
0.000 0.500 0.000
0.000 0.000 0.500
0.500 0.000 0.000
0.500 0.500 0.500
0.000 0.000 0.000
```

***

ii:
## NaAg3Te (PBE)

Data for NaAg3Te after structural relaxation.

Symmetry: Pm-3m (221)
Calculated volume (Å³ per cell): 125

POSCAR file:
```
NaAg3Te
1.0
-4.655 -1.056 1.499
0.171 -4.323 -2.513
1.825 -2.287 4.058
Na Ag Te
1 3 1
Direct
0.000 0.000 0.000
0.000 0.000 0.500
0.500 0.000 0.000
0.000 0.500 0.000
0.500 0.500 0.500
```

***

Relative energies, meV per atom: i 0; ii 344.